Record 1
The following is a PBE-GGA calculation of a geometry-optimized Sr4ReW structure, from Alexandria via LeMat-Bulk.

a = 6.501 Å, b = 6.501 Å, c = 6.501 Å
α = 60.00°, β = 60.00°, γ = 60.00°
Atoms (fractional coordinates):
Sr 0.125 0.125 0.125
Sr 0.125 0.125 0.624
Sr 0.125 0.624 0.125
Sr 0.624 0.125 0.125
Re 0.500 0.500 0.500
W 0.750 0.750 0.750

Values from the calculation:
- electronic total energy (eV per atom) = -3.310

=====

Record 2
The following is a PBE-GGA calculation of a geometry-optimized SrYReW2 structure, from Alexandria via LeMat-Bulk.

a = 4.889 Å, b = 4.889 Å, c = 4.879 Å
α = 90.00°, β = 90.00°, γ = 90.00°
Atoms (fractional coordinates):
Sr 0.000 0.000 0.000
Y 0.500 0.500 0.500
Re 0.000 0.000 0.500
W 0.000 0.500 0.000
W 0.500 0.000 0.000

Values from the calculation:
- electronic total energy (eV per atom) = -6.351

=====

Record 3
The following is a PBE-GGA calculation of a geometry-optimized SrY2Re structure, from Alexandria via LeMat-Bulk.

a = 4.362 Å, b = 5.807 Å, c = 8.689 Å
α = 90.00°, β = 90.00°, γ = 90.00°
Atoms (fractional coordinates):
Sr 0.000 0.000 0.000
Sr 0.500 0.500 0.500
Y 0.000 0.500 0.207
Y 0.000 0.500 0.793
Y 0.500 0.000 0.293
Y 0.500 0.000 0.707
Re 0.000 0.000 0.500
Re 0.500 0.500 0.000

Values from the calculation:
- excess energy over the best structure of this formula in the dataset (eV per atom) = 0.251

=====

Record 4
The following is a PBE-GGA calculation of a geometry-optimized Sr2YRe structure, from Alexandria via LeMat-Bulk.

a = 3.747 Å, b = 3.747 Å, c = 33.582 Å
α = 90.00°, β = 90.00°, γ = 120.00°
Atoms (fractional coordinates):
Sr 0.000 0.000 0.000
Sr 0.000 0.000 0.223
Sr 0.333 0.667 0.667
Sr 0.333 0.667 0.889
Sr 0.667 0.333 0.333
Sr 0.667 0.333 0.556
Y 0.000 0.000 0.768
Y 0.333 0.667 0.435
Y 0.667 0.333 0.101
Re 0.000 0.000 0.490
Re 0.333 0.667 0.156
Re 0.667 0.333 0.823

Values from the calculation:
- excess energy over the best structure of this formula in the dataset (eV per atom) = 0.185

=====

Record 5
The following is a PBE-GGA calculation of a geometry-optimized Sr2YRe structure, from Alexandria via LeMat-Bulk.

a = 3.255 Å, b = 5.245 Å, c = 6.677 Å
α = 90.00°, β = 90.00°, γ = 90.00°
Atoms (fractional coordinates):
Sr 0.000 0.000 0.226
Sr 0.000 0.000 0.774
Y 0.500 0.500 0.500
Re 0.500 0.500 0.000

Values from the calculation:
- excess energy over the best structure of this formula in the dataset (eV per atom) = 0.478

=====

Record 6
The following is a PBE-GGA calculation of a geometry-optimized Sr2Y2Re structure, from Alexandria via LeMat-Bulk.

a = 7.385 Å, b = 7.385 Å, c = 6.357 Å
α = 90.00°, β = 90.00°, γ = 90.00°
Atoms (fractional coordinates):
Sr 0.182 0.318 0.000
Sr 0.318 0.818 0.000
Sr 0.682 0.182 0.000
Sr 0.818 0.682 0.000
Y 0.171 0.671 0.500
Y 0.329 0.171 0.500
Y 0.671 0.829 0.500
Y 0.829 0.329 0.500
Re 0.000 0.000 0.500
Re 0.500 0.500 0.500

Values from the calculation:
- excess energy over the best structure of this formula in the dataset (eV per atom) = 0.000

=====

no.,DOS(E_F) (states/eV/cell)
1,12.19
2,8.60
3,6.55
4,10.45
5,5.33
6,15.67